# 1
Compound: KIn3Ir
Source: Alexandria via LeMat-Bulk
Functional: PBE
Structure: optimized geometry

Lattice parameters (Å, degrees): 3.2801 7.0661 18.3063 90.00 90.00 90.00
Space group Amm2 (No. 38)
Unique sites:
K 0.0000 0.0000 0.0000 (multiplicity 2)
In 0.0000 0.2033 0.1770 (multiplicity 4)
In 0.5000 0.0000 0.8253 (multiplicity 2)
Ir 0.5000 0.0000 0.6854 (multiplicity 2)

Values from the calculation:
* volume: 424.3 Å³ per cell
* Fermi-level density of states: 5.82 states/eV per cell
* energy relative to the lowest polymorph listed for this composition: 0.376 eV/atom
* raw total energy: -3.42 eV per atom

# 2
Compound: KIn2Ir
Source: Alexandria via LeMat-Bulk
Functional: PBE
Structure: optimized geometry

Lattice parameters (Å, degrees): 6.4148 6.4148 15.8091 90.00 90.00 90.00
Space group I-42d (No. 122)
Unique sites:
K 0.0000 0.0000 0.0000 (multiplicity 4)
In 0.0014 0.7500 0.6250 (multiplicity 8)
Ir 0.0000 0.0000 0.5000 (multiplicity 4)

Values from the calculation:
* volume: 650.5 Å³ per cell
* Fermi-level density of states: 0.30 states/eV per cell
* energy relative to the lowest polymorph listed for this composition: 0.151 eV/atom
* raw total energy: -3.72 eV per atom

# 3
Compound: KIn3Ir
Source: Alexandria via LeMat-Bulk
Functional: PBE
Structure: optimized geometry

Lattice parameters (Å, degrees): 9.8905 5.4789 10.7945 90.00 122.83 90.00
Space group P2_1/c (No. 14)
Unique sites:
K 0.1695 0.0988 0.0839 (multiplicity 4)
In 0.0001 0.0008 0.3063 (multiplicity 4)
In 0.3915 0.2492 0.9441 (multiplicity 4)
In 0.3947 0.6299 0.1968 (multiplicity 4)
Ir 0.2712 0.7491 0.8845 (multiplicity 4)

Values from the calculation:
* volume: 491.5 Å³ per cell
* Fermi-level density of states: 10.00 states/eV per cell
* energy relative to the lowest polymorph listed for this composition: 0.184 eV/atom
* raw total energy: -3.61 eV per atom

# 4
Compound: KIn3Ir
Source: Alexandria via LeMat-Bulk
Functional: PBE
Structure: optimized geometry

Lattice parameters (Å, degrees): 7.3149 7.3149 19.1798 90.00 90.00 120.00
Space group R3m (No. 160, hexagonal axes)
Unique sites:
K 0.0000 0.0000 0.0000 (multiplicity 3)
In 0.0623 0.5311 0.4853 (multiplicity 9)
Ir 0.0000 0.0000 0.1681 (multiplicity 3)

Values from the calculation:
* volume: 888.8 Å³ per cell
* Fermi-level density of states: 9.60 states/eV per cell
* energy relative to the lowest polymorph listed for this composition: 0.702 eV/atom
* raw total energy: -3.09 eV per atom